Record 1
! MgGa12Rh6 PBE optimized geometry; values from VASP
! **Density of states at the Fermi level**: 0.4451 states/eV per atom
! **E_tot**: -4.743 eV/atom
! **Calculated formation energy**: -8.084 eV per formula unit
! **Space-group type**: R-3m
! **V**: 16.86 A^3/atom
! **Density**: 7.7 g/cm³
&SYSTEM
  ibrav = 0, nat = 19, ntyp = 3
/
ATOMIC_SPECIES
Mg 24.30 Mg.upf
Rh 102.91 Rh.upf
Ga 69.72 Ga.upf
CELL_PARAMETERS angstrom
-3.592 1.143 6.147
-0.275 -7.110 -1.172
6.905 1.517 1.419
ATOMIC_POSITIONS crystal
Mg 0.000 0.000 0.000
Rh 0.720 0.305 0.720
Rh 0.720 0.720 0.305
Rh 0.305 0.720 0.720
Rh 0.280 0.695 0.280
Rh 0.695 0.280 0.280
Rh 0.280 0.280 0.695
Ga 0.884 0.500 0.116
Ga 0.116 0.500 0.884
Ga 0.389 0.389 0.130
Ga 0.870 0.611 0.611
Ga 0.130 0.389 0.389
Ga 0.500 0.116 0.884
Ga 0.389 0.130 0.389
Ga 0.116 0.884 0.500
Ga 0.611 0.611 0.870
Ga 0.500 0.884 0.116
Ga 0.611 0.870 0.611
Ga 0.884 0.116 0.500



Record 2
! ScMnH2Ru PBE optimized geometry; values from VASP
! **Density of states at the Fermi level**: 0.6370 states/eV per atom
! **E_tot**: -5.690 eV/atom
! **Space-group type**: P4/mmm
! **V**: 13.14 A^3/atom
! **Density**: 5.1 g/cm³
&SYSTEM
  ibrav = 0, nat = 5, ntyp = 4
/
ATOMIC_SPECIES
Mn 54.94 Mn.upf
H 1.01 H.upf
Sc 44.96 Sc.upf
Ru 101.07 Ru.upf
CELL_PARAMETERS angstrom
3.670 0.000 0.000
0.000 4.876 0.000
0.000 0.000 3.670
ATOMIC_POSITIONS crystal
Mn 0.500 0.500 0.500
H 0.500 0.000 0.000
H 0.000 0.000 0.500
Sc 0.000 0.500 0.000
Ru 0.000 0.000 0.000